Entry 1:
DFT (PBE) results for a relaxed Tb4Sc crystal.

Structure (POSCAR):
```
Tb4Sc
1.0
-1.345 3.954 3.650
3.424 -2.274 3.725
4.152 3.156 -1.889
Tb Sc
4 1
Cartesian
0.000 0.000 0.000 Tb
3.788 0.441 0.918 Tb
1.039 0.840 3.687 Tb
1.403 3.555 0.880 Tb
3.115 2.418 2.743 Sc
```

SG: Pm-3m
Electronic total energy in eV/atom: -4.381
Energy relative to the lowest polymorph listed for this composition in meV per atom: 555
Energy of formation in meV per atom: 590

---

Entry 2:
DFT (PBE) results for a relaxed Li6Cd2Hg crystal.

Structure (POSCAR):
```
Li6Cd2Hg
1.0
5.374 0.000 1.166
0.000 7.941 0.000
-1.128 -3.970 3.511
Li Cd Hg
6 2 1
Cartesian
0.508 2.639 1.366 Li
2.687 6.627 0.583 Li
3.738 -1.331 3.311 Li
0.508 5.302 1.366 Li
2.687 1.314 0.583 Li
3.738 1.331 3.311 Li
3.203 3.970 1.937 Cd
1.043 0.000 2.740 Cd
0.000 0.000 0.000 Hg
```

SG: C2/m
Electronic total energy in eV/atom: -1.736
Energy of formation in meV per atom: -223

---

Entry 3:
DFT (PBE) results for a relaxed CeErAlNi crystal.

Structure (POSCAR):
```
CeErAlNi
1.0
-2.894 -3.989 -0.774
-0.655 -3.351 3.638
-4.416 -0.361 2.294
Ni Ce Al Er
1 1 1 1
Cartesian
-1.991 -1.925 1.289 Ni
-3.982 -3.851 2.579 Ce
-5.974 -5.776 3.868 Al
0.000 0.000 0.000 Er
```

SG: F-43m
Electronic total energy in eV/atom: -5.238
Energy of formation in meV per atom: -233

---

Entry 4:
DFT (PBE) results for a relaxed LuPaPtRh crystal.

Structure (POSCAR):
```
LuPaPtRh
1.0
-3.441 -3.351 0.887
1.172 -4.741 0.084
0.001 -2.441 4.231
Lu Pa Pt Rh
1 1 1 1
Cartesian
-1.134 -5.266 2.601 Lu
0.000 0.000 0.000 Pa
-1.700 -7.900 3.901 Pt
-0.567 -2.633 1.300 Rh
```

SG: F-43m
Electronic total energy in eV/atom: -7.713
Energy of formation in meV per atom: -861

---

Entry 5:
DFT (PBE) results for a relaxed BaNaCa2Pt crystal.

Structure (POSCAR):
```
BaNaCa2Pt
1.0
5.612 0.000 0.000
0.000 5.612 0.000
0.000 0.000 5.974
Ca Ba Pt Na
2 1 1 1
Cartesian
2.806 0.000 0.000 Ca
0.000 2.806 0.000 Ca
2.806 2.806 2.987 Ba
0.000 0.000 0.000 Pt
0.000 0.000 2.987 Na
```

SG: P4/mmm
Electronic total energy in eV/atom: -2.945
Energy relative to the lowest polymorph listed for this composition in meV per atom: 142
Energy of formation in meV per atom: -288

---

Entry 6:
DFT (PBE) results for a relaxed U2PS crystal.

Structure (POSCAR):
```
U2PS
1.0
3.948 0.000 0.000
-1.974 3.400 -0.232
0.000 -1.861 6.369
U P S
2 1 1
Cartesian
1.974 0.305 4.667 U
0.000 1.234 1.470 U
0.000 -0.930 3.184 P
1.974 0.000 0.000 S
```

SG: C2/m
Electronic total energy in eV/atom: -9.216
Energy relative to the lowest polymorph listed for this composition in meV per atom: 0
Raw formation energy in eV/f.u.: -4.75

---

Entry 7:
DFT (PBE) results for a relaxed ReHg crystal.

Structure (POSCAR):
```
ReHg
1.0
-4.973 0.950 0.055
-4.459 -0.663 -2.307
-4.672 -1.929 0.300
Re Hg
1 1
Cartesian
-7.052 -0.821 -0.976 Re
0.000 0.000 0.000 Hg
```

SG: R-3m
Electronic total energy in eV/atom: -5.427
Energy relative to the lowest polymorph listed for this composition in meV per atom: 555
Energy of formation in meV per atom: 947

---

Entry 8:
DFT (PBE) results for a relaxed Li2CaP crystal.

Structure (POSCAR):
```
Li2CaP
1.0
4.005 0.000 0.000
0.000 3.958 0.001
0.000 1.894 5.654
Ca P Li
1 1 2
Cartesian
2.003 4.172 3.591 Ca
0.000 2.195 2.627 P
2.003 2.192 1.274 Li
0.000 4.178 0.992 Li
```

SG: Pm
Electronic total energy in eV/atom: -3.369
Energy of formation in meV per atom: -560

---

Entry 9:
DFT (PBE) results for a relaxed LiSmGd2 crystal.

Structure (POSCAR):
```
LiSmGd2
1.0
3.497 0.000 0.000
1.748 3.028 0.000
1.748 1.009 12.199
Gd Li Sm
2 1 1
Cartesian
1.748 1.009 8.978 Gd
5.245 3.028 3.221 Gd
0.000 0.000 0.000 Li
3.497 2.019 6.099 Sm
```

SG: R-3m
Electronic total energy in eV/atom: -8.524
Energy relative to the lowest polymorph listed for this composition in meV per atom: 109
Energy of formation in meV per atom: 174

---

Entry 10:
DFT (PBE) results for a relaxed NaLi6Tl crystal.

Structure (POSCAR):
```
NaLi6Tl
1.0
-1.362 4.466 1.801
0.470 -2.166 5.726
4.866 2.579 -2.714
Li Na Tl
6 1 1
Cartesian
2.503 1.728 4.562 Li
-0.030 1.532 3.132 Li
4.664 1.079 0.851 Li
2.331 -0.158 2.153 Li
2.106 0.881 -0.593 Li
0.194 0.504 5.849 Li
4.499 2.183 -2.010 Na
2.354 2.836 1.702 Tl
```

SG: P-6m2
Electronic total energy in eV/atom: -1.983
Energy of formation in meV per atom: -87

---

Entry 11:
DFT (PBE) results for a relaxed TmGe crystal.

Structure (POSCAR):
```
TmGe
1.0
-3.008 -2.393 -1.776
4.312 -4.640 -1.050
0.142 -1.377 6.671
Tm Ge
4 4
Cartesian
-0.551 -2.594 -0.614 Tm
0.325 -2.583 2.933 Tm
1.997 -5.817 4.459 Tm
1.120 -5.828 0.912 Tm
-2.391 -3.443 3.645 Ge
2.066 -3.062 0.631 Ge
3.836 -4.968 0.200 Ge
-0.620 -5.349 3.214 Ge
```

SG: Cmcm
Electronic total energy in eV/atom: -5.365
Energy of formation in meV per atom: -821

---

Entry 12:
DFT (PBE) results for a relaxed TmPu2Pb crystal.

Structure (POSCAR):
```
TmPu2Pb
1.0
5.175 0.000 0.000
0.000 4.571 0.000
0.000 0.000 4.571
Pu Pb Tm
2 1 1
Cartesian
0.000 2.285 0.000 Pu
0.000 0.000 2.285 Pu
2.587 0.000 0.000 Pb
2.587 2.285 2.285 Tm
```

SG: P4/mmm
Electronic total energy in eV/atom: -9.370
Energy relative to the lowest polymorph listed for this composition in meV per atom: 0
Energy of formation in meV per atom: -159